Record 1
Compound: Rb2Tl4CdIn3
Source: Alexandria via LeMat-Bulk
Functional: GGA-PBE
Structure: optimized geometry

Results
Total DFT energy (no corrections) ... -21.155 eV/cell
N(E_F) ... 0.63 states/eV per atom

Unit cell a=5.2232 b=5.2232 c=12.7150 alpha=90.00 beta=90.00 gamma=90.00
Positions (direct):
Rb (0.0000, 0.5000, 0.2483)
Rb (0.5000, 0.0000, 0.7517)
Tl (0.0000, 0.0000, 0.5000)
Tl (0.0000, 0.5000, 0.8707)
Tl (0.5000, 0.0000, 0.1293)
Tl (0.5000, 0.5000, 0.5000)
Cd (0.5000, 0.5000, 0.0000)
In (0.0000, 0.0000, 0.0000)
In (0.0000, 0.5000, 0.6336)
In (0.5000, 0.0000, 0.3664)

---

Record 2
Compound: AlAgC
Source: Alexandria via LeMat-Bulk
Functional: GGA-PBE
Structure: optimized geometry

Results
Total DFT energy (no corrections) ... -28.786 eV/cell
N(E_F) ... 0.00 states/eV per atom

Unit cell a=3.8018 b=3.8018 c=5.6526 alpha=90.00 beta=90.00 gamma=90.00
Positions (direct):
Al (0.2500, 0.7500, 0.0000)
Al (0.7500, 0.2500, 0.0000)
Ag (0.2500, 0.2500, 0.4579)
Ag (0.7500, 0.7500, 0.5421)
C (0.2500, 0.2500, 0.8559)
C (0.7500, 0.7500, 0.1441)

---

Record 3
Compound: MnMo2P
Source: Alexandria via LeMat-Bulk
Functional: GGA-PBE
Structure: optimized geometry

Results
Total DFT energy (no corrections) ... -36.577 eV/cell
N(E_F) ... 0.81 states/eV per atom

Unit cell a=2.9496 b=2.9496 c=6.3162 alpha=90.00 beta=90.00 gamma=90.00
Positions (direct):
Mn (0.0000, 0.0000, 0.0000)
Mo (0.5000, 0.5000, 0.2641)
Mo (0.5000, 0.5000, 0.7359)
P (0.0000, 0.0000, 0.5000)

---

Record 4
Compound: Dy3ScO6
Source: Alexandria via LeMat-Bulk
Functional: GGA-PBE
Structure: optimized geometry

Results
Total DFT energy (no corrections) ... -171.539 eV/cell
E_form (uncorrected) ... -3.588 eV/atom
N(E_F) ... 0.00 states/eV per atom

Unit cell a=6.6048 b=6.6048 c=6.6048 alpha=92.03 beta=92.03 gamma=92.03
Positions (direct):
Dy (0.0609, 0.7528, 0.5682)
Dy (0.2472, 0.4318, 0.9391)
Dy (0.4318, 0.9391, 0.2472)
Dy (0.5682, 0.0609, 0.7528)
Dy (0.7528, 0.5682, 0.0609)
Dy (0.9391, 0.2472, 0.4318)
Sc (0.0000, 0.0000, 0.0000)
Sc (0.5000, 0.5000, 0.5000)
O (0.0368, 0.6937, 0.9070)
O (0.0930, 0.9632, 0.3063)
O (0.1936, 0.4310, 0.5858)
O (0.3063, 0.0930, 0.9632)
O (0.4142, 0.8064, 0.5690)
O (0.4310, 0.5858, 0.1936)
O (0.5690, 0.4142, 0.8064)
O (0.5858, 0.1936, 0.4310)
O (0.6937, 0.9070, 0.0368)
O (0.8064, 0.5690, 0.4142)
O (0.9070, 0.0368, 0.6937)
O (0.9632, 0.3063, 0.0930)

---

Record 5
Compound: Sm2PaRh3
Source: Alexandria via LeMat-Bulk
Functional: GGA-PBE
Structure: optimized geometry

Results
Total DFT energy (no corrections) ... -90.721 eV/cell
Distance to the lowest polymorph of the same formula ... 101 meV/atom
N(E_F) ... 0.75 states/eV per atom

Unit cell a=7.2893 b=7.2893 c=7.3051 alpha=104.74 beta=104.74 gamma=46.06
Positions (direct):
Sm (0.0722, 0.2780, 0.1323)
Sm (0.2780, 0.0722, 0.6323)
Sm (0.7220, 0.9278, 0.3677)
Sm (0.9278, 0.7220, 0.8677)
Pa (0.4182, 0.5818, 0.2500)
Pa (0.5818, 0.4182, 0.7500)
Rh (0.0503, 0.9497, 0.7500)
Rh (0.2501, 0.4591, 0.4932)
Rh (0.4591, 0.2501, 0.9932)
Rh (0.5409, 0.7499, 0.0068)
Rh (0.7499, 0.5409, 0.5068)
Rh (0.9497, 0.0503, 0.2500)

---

Record 6
Compound: La4GaPbN
Source: Alexandria via LeMat-Bulk
Functional: GGA-PBE
Structure: optimized geometry

Results
Total DFT energy (no corrections) ... -80.138 eV/cell
E_form (uncorrected) ... -0.757 eV/atom
N(E_F) ... 0.31 states/eV per atom

Unit cell a=9.3109 b=9.3109 c=6.9817 alpha=90.00 beta=90.00 gamma=136.17
Positions (direct):
La (0.0000, 0.5000, 0.0000)
La (0.0000, 0.5000, 0.5000)
La (0.0615, 0.9385, 0.7500)
La (0.4142, 0.5858, 0.7500)
La (0.5000, 0.0000, 0.0000)
La (0.5000, 0.0000, 0.5000)
La (0.5858, 0.4142, 0.2500)
La (0.9385, 0.0615, 0.2500)
Ga (0.1174, 0.8826, 0.2500)
Ga (0.8826, 0.1174, 0.7500)
Pb (0.3921, 0.6079, 0.2500)
Pb (0.6079, 0.3921, 0.7500)
N (0.2760, 0.7240, 0.7500)
N (0.7240, 0.2760, 0.2500)

---

Record 7
Compound: BaMg2Cr
Source: Alexandria via LeMat-Bulk
Functional: GGA-PBE
Structure: optimized geometry

Results
Total DFT energy (no corrections) ... -12.412 eV/cell
Distance to the lowest polymorph of the same formula ... 248 meV/atom
N(E_F) ... 0.77 states/eV per atom

Unit cell a=6.0523 b=6.0523 c=3.4296 alpha=90.00 beta=90.00 gamma=112.48
Positions (direct):
Ba (0.0000, 0.0000, 0.0000)
Mg (0.0000, 0.5000, 0.5000)
Mg (0.5000, 0.0000, 0.5000)
Cr (0.5000, 0.5000, 0.0000)

---

Record 8
Compound: TmPtAu
Source: Alexandria via LeMat-Bulk
Functional: GGA-PBE
Structure: optimized geometry

Results
Total DFT energy (no corrections) ... -33.217 eV/cell
Distance to the lowest polymorph of the same formula ... 53 meV/atom
N(E_F) ... 0.41 states/eV per atom

Unit cell a=7.0289 b=7.0289 c=4.4303 alpha=90.00 beta=90.00 gamma=147.29
Positions (direct):
Tm (0.1084, 0.8916, 0.7500)
Tm (0.8916, 0.1084, 0.2500)
Pt (0.2423, 0.7577, 0.2500)
Pt (0.7577, 0.2423, 0.7500)
Au (0.4263, 0.5737, 0.7500)
Au (0.5737, 0.4263, 0.2500)